1.
This record from the Alexandria database describes a relaxed ErZn3Pt3 crystal. The functional is PBE. Values from VASP.

Density = 10.05 g/cm³
Fermi-level density of states = 0.334 states/eV per atom
Total magnetic moment = 0.00 μB/cell
Final energy = -53.25 eV/cell
Calculated formation energy = -0.02 eV per atom

Cell and atoms, written as Quantum ESPRESSO input:
```
&SYSTEM
  ibrav = 0, nat = 14, ntyp = 3
/
ATOMIC_SPECIES
Zn 65.41 Zn.upf
Er 167.26 Er.upf
Pt 195.08 Pt.upf
CELL_PARAMETERS angstrom
-3.9590 5.5004 -0.4731
-4.8695 -3.2049 3.4883
2.6011 2.3719 5.8104
ATOMIC_POSITIONS crystal
Zn 0.5000 0.0000 0.2500
Zn 0.2500 0.5000 0.0000
Zn 0.7500 0.5000 0.0000
Zn 0.5000 0.0000 0.7500
Zn 0.0000 0.7500 0.5000
Zn 0.0000 0.2500 0.5000
Er 0.0000 0.0000 0.0000
Er 0.5000 0.5000 0.5000
Pt 0.5000 0.7500 0.0000
Pt 0.0000 0.5000 0.2500
Pt 0.2500 0.0000 0.5000
Pt 0.0000 0.5000 0.7500
Pt 0.7500 0.0000 0.5000
Pt 0.5000 0.2500 0.0000
```

2.
This record from the Alexandria database describes a relaxed ErZn4Pt crystal. The functional is PBE. Values from VASP.

Excess energy over the best structure of this formula in the dataset = 0 meV/atom
Density = 9.66 g/cm³
Fermi-level density of states = 0.479 states/eV per atom
Total magnetic moment = 0.00 μB/cell
Final energy = -36.98 eV/cell
Calculated formation energy = -0.47 eV per atom

Cell and atoms, written as Quantum ESPRESSO input:
```
&SYSTEM
  ibrav = 0, nat = 12, ntyp = 3
/
ATOMIC_SPECIES
Zn 65.41 Zn.upf
Pt 195.08 Pt.upf
Er 167.26 Er.upf
CELL_PARAMETERS angstrom
-1.8220 -1.6870 -3.0394
4.2681 -5.4866 0.4867
-5.0182 -3.4662 4.9322
ATOMIC_POSITIONS crystal
Zn 0.5000 0.3139 0.9550
Zn 0.0000 0.0000 0.5000
Zn 0.5000 0.6861 0.0450
Zn 0.5000 0.6861 0.4550
Zn 0.5000 0.0556 0.2500
Zn 0.0000 0.0000 0.0000
Zn 0.5000 0.3139 0.5450
Zn 0.5000 0.9444 0.7500
Pt 0.0000 0.7834 0.2500
Pt 0.0000 0.2166 0.7500
Er 0.0000 0.3839 0.2500
Er 0.0000 0.6161 0.7500
```